CePm2Cu2Ge2 (GGA-PBE, relaxed); symmetry = R-3m, No. 166; E = -5.158 eV per atom; DFT formation energy = -0.46 eV per atom
1.0
2.151 1.242 9.962
-2.151 1.242 9.962
0.000 -2.484 9.962
Ce Pm Cu Ge
1 2 2 2
Direct
0.000 0.000 0.000
0.124 0.124 0.124
0.876 0.876 0.876
0.397 0.397 0.397
0.603 0.603 0.603
0.269 0.269 0.269
0.731 0.731 0.731

***

CePrCuGe (GGA-PBE, relaxed); symmetry = F-43m, No. 216; E = -5.225 eV per atom; DFT formation energy = -0.37 eV per atom
1.0
0.000 3.639 3.639
3.639 0.000 3.639
3.639 3.639 0.000
Ce Pr Cu Ge
1 1 1 1
Direct
0.000 0.000 0.000
0.500 0.500 0.500
0.750 0.750 0.750
0.250 0.250 0.250

***

CePrCu2Ge2 (GGA-PBE, relaxed); symmetry = P-3m1, No. 164; E = -5.307 eV per atom; DFT formation energy = -0.62 eV per atom
1.0
4.286 0.000 0.000
-2.143 3.711 0.000
0.000 0.000 7.918
Ce Pr Cu Ge
1 1 2 2
Direct
0.000 0.000 0.000
0.000 0.000 0.500
0.333 0.667 0.243
0.667 0.333 0.757
0.333 0.667 0.759
0.667 0.333 0.241